# 1
Density functional theory data (meta-GGA SCAN) for a PBEsol-optimized structure of Li2NiPd.

Structure (POSCAR):
```
Li2NiPd
1.0
4.9319 0.0000 0.0000
2.4659 4.5656 0.0000
2.4659 0.0000 4.5656
Pd Li Ni
2 4 2
Direct
0.0000 0.0000 0.0000
0.7500 0.5000 0.5000
0.3750 0.0099 0.4901
0.6151 0.5099 0.0099
0.1349 0.4901 0.9901
0.8750 0.9901 0.5099
0.2500 0.5000 0.5000
0.5000 0.0000 0.0000
```

The calculation puts the final energy at -106.30 eV per cell. The calculated formation energy is 144.5 meV/atom. The density of states at the Fermi level comes out at 0.89 states/eV/atom. The volume is 103 Å³ per cell.

# 2
Density functional theory data (meta-GGA SCAN) for a PBEsol-optimized structure of LiNiPt2.

Structure (POSCAR):
```
LiNiPt2
1.0
2.6784 0.0000 0.0000
0.0000 4.4330 -0.0059
0.0000 -1.1514 4.2808
Pt Ni Li
2 1 1
Direct
0.0000 0.5000 0.0000
0.0000 0.0000 0.5000
0.5000 0.5000 0.5000
0.5000 0.0000 0.0000
```

The calculation puts the final energy at -160.66 eV per cell. The calculated formation energy is -427.6 meV/atom. The density of states at the Fermi level comes out at 0.67 states/eV/atom. The volume is 51 Å³ per cell.

# 3
Density functional theory data (meta-GGA SCAN) for a PBEsol-optimized structure of LiNiPt2.

Structure (POSCAR):
```
LiNiPt2
1.0
-2.6263 0.3828 0.2847
-1.6743 -0.7338 -1.9451
-2.1948 -8.0549 3.0966
Pt Li Ni
2 1 1
Direct
0.7543 0.7543 0.7371
0.9948 0.9948 0.0157
0.5015 0.5015 0.4955
0.2494 0.2494 0.2518
```

The calculation puts the final energy at -159.78 eV per cell. The calculated formation energy is -208.5 meV/atom. The density of states at the Fermi level comes out at 0.23 states/eV/atom. The volume is 54 Å³ per cell.

# 4
Density functional theory data (meta-GGA SCAN) for a PBEsol-optimized structure of LiNiPt2.

Structure (POSCAR):
```
LiNiPt2
1.0
-0.7552 3.3552 0.4118
-3.6515 -0.9057 0.6831
0.7693 -0.2852 3.7346
Li Pt Ni
1 2 1
Direct
0.5000 0.5000 0.5000
0.0000 0.5000 0.0000
0.0000 0.0000 0.5000
0.5000 0.0000 0.0000
```

The calculation puts the final energy at -160.56 eV per cell. The calculated formation energy is -403.5 meV/atom. The density of states at the Fermi level comes out at 0.74 states/eV/atom. The volume is 51 Å³ per cell.

# 5
Density functional theory data (meta-GGA SCAN) for a PBEsol-optimized structure of LiNiPt2.

Structure (POSCAR):
```
LiNiPt2
1.0
-2.6283 0.2876 0.6136
-0.7532 -4.0024 -1.3505
0.7691 -1.4925 3.9944
Pt Ni Li
2 1 1
Direct
0.0000 0.5000 0.6558
0.0000 0.0000 0.0940
0.5000 0.5000 0.1608
0.5000 0.0000 0.5894
```

The calculation puts the final energy at -160.38 eV per cell. The calculated formation energy is -357.5 meV/atom. The density of states at the Fermi level comes out at 0.79 states/eV/atom. The volume is 50 Å³ per cell.

# 6
Density functional theory data (meta-GGA SCAN) for a PBEsol-optimized structure of Li2NiPt.

Structure (POSCAR):
```
Li2NiPt
1.0
-1.5996 -0.6791 1.9927
3.5133 0.0411 2.8342
-1.4699 4.3426 -1.4541
Pt Ni Li
1 1 2
Direct
0.2417 0.6484 0.4834
0.5043 0.6038 0.0085
0.9951 0.0763 0.9901
0.7590 0.1715 0.5180
```

The calculation puts the final energy at -92.62 eV per cell. The calculated formation energy is -367.4 meV/atom. The density of states at the Fermi level comes out at 0.33 states/eV/atom. The volume is 50 Å³ per cell.

# 7
Density functional theory data (meta-GGA SCAN) for a PBEsol-optimized structure of LiNiPt2.

Structure (POSCAR):
```
LiNiPt2
1.0
-1.9057 -1.8437 0.5663
2.4920 -3.0794 -1.6393
1.8731 -0.6731 4.1118
Ni Li Pt
1 1 2
Direct
0.0000 0.5000 0.5000
0.5000 0.5000 0.0000
0.0000 0.0000 0.0000
0.5000 0.0000 0.5000
```

The calculation puts the final energy at -160.08 eV per cell. The calculated formation energy is -283.3 meV/atom. The density of states at the Fermi level comes out at 0.66 states/eV/atom. The volume is 53 Å³ per cell.

# 8
Density functional theory data (meta-GGA SCAN) for a PBEsol-optimized structure of LiNiPt2.

Structure (POSCAR):
```
LiNiPt2
1.0
-2.5555 0.0793 -0.6546
0.8938 -3.4262 -3.1233
-0.0195 -1.2517 4.8543
Pt Ni Li
2 1 1
Direct
0.0000 0.0000 0.5000
0.5000 0.5000 0.5000
0.0000 0.5000 0.0000
0.5000 0.0000 0.0000
```

The calculation puts the final energy at -160.10 eV per cell. The calculated formation energy is -288.6 meV/atom. The density of states at the Fermi level comes out at 0.66 states/eV/atom. The volume is 53 Å³ per cell.

- Among the records above, which one has the highest calculated formation energy?
  Li2NiPd

- Which value of calculated formation energy does entry 8 give?
  -288.6 meV/atom

- Which of these has the highest calculated formation energy?
  Li2NiPd